(1)
7
Lattice="-2.515 2.515 6.995 2.515 -2.515 6.995 2.515 2.515 -6.995" Properties=species:S:1:pos:R:3 comment="HgTe2Mo4 PBE-GGA relaxed" e_form_raw_kj_per_mol_fu=1132.2 crystal_system=tetragonal spacegroup="No. 139" pbc="T T T"
Hg 0.000 0.000 0.000
Te 0.000 0.000 5.400
Te 0.000 0.000 8.590
Mo 2.515 0.000 0.000
Mo 0.000 0.000 2.701
Mo 0.000 2.515 0.000
Mo 0.000 0.000 11.289

(2)
13
Lattice="-2.793 4.800 4.605 2.793 -4.800 4.605 2.793 4.800 -4.605" Properties=species:S:1:pos:R:3 comment="NaLi7Ag5 PBE-GGA relaxed" final_energy_ev_per_atom=-2.372 crystal_system=orthorhombic spacegroup="No. 44" pbc="T T T"
Na 0.000 0.000 0.000
Li 2.793 1.962 -0.037
Li 2.793 0.000 2.089
Li 0.000 0.000 3.178
Li 0.000 3.319 0.077
Li 0.000 6.280 0.077
Li 0.000 0.000 6.143
Li 0.000 2.837 4.568
Ag 1.407 -2.325 2.307
Ag 4.178 -2.325 2.307
Ag 1.407 2.325 2.307
Ag 4.178 2.325 2.307
Ag 0.000 4.800 2.547

(3)
5
Lattice="4.897 0.000 0.000 0.000 4.897 0.000 0.000 0.000 3.469" Properties=species:S:1:pos:R:3 comment="AsHRuBr2 PBE-GGA relaxed" relative_energy_mev_per_atom=279 crystal_system=tetragonal spacegroup="No. 123" pbc="T T T"
As 0.000 0.000 0.000
H 0.000 0.000 1.735
Ru 2.449 2.449 0.000
Br 0.000 2.449 1.735
Br 2.449 0.000 1.735

(4)
4
Lattice="3.820 0.000 0.000 0.000 3.820 0.000 0.000 0.000 6.338" Properties=species:S:1:pos:R:3 comment="AcCdP2 PBE-GGA relaxed" relative_energy_mev_per_atom=251 crystal_system=tetragonal spacegroup="No. 123" pbc="T T T"
Ac 0.000 0.000 0.000
Cd 0.000 0.000 3.169
P 1.910 1.910 1.944
P 1.910 1.910 4.394

(5)
14
Lattice="-2.862 5.501 7.661 2.862 -5.501 7.661 2.862 5.501 -7.661" Properties=species:S:1:pos:R:3 comment="Pr8Y3Ho3 PBE-GGA relaxed" final_energy_ev_per_atom=-4.988 crystal_system=orthorhombic spacegroup="No. 71" pbc="T T T"
Pr 2.862 1.796 -1.597
Pr 2.862 3.774 -4.202
Pr 2.862 1.796 1.597
Pr 0.000 1.727 3.459
Pr 2.862 3.774 4.202
Pr 0.000 3.705 6.064
Pr 0.000 1.727 11.862
Pr 0.000 3.705 9.258
Y 0.000 0.000 0.000
Y 0.000 3.363 0.000
Y 0.000 7.639 0.000
Ho 2.862 0.000 4.889
Ho 0.000 0.000 7.661
Ho 0.000 5.501 2.771

(6)
4
Lattice="3.198 -1.859 0.000 3.198 1.859 0.000 -2.122 0.000 7.912" Properties=species:S:1:pos:R:3 comment="YScPbS PBE-GGA relaxed" e_form_raw_kj_per_mol_fu=-460.3 crystal_system=monoclinic spacegroup="No. 8" pbc="T T T"
Y 0.000 0.000 0.000
Sc 4.274 0.000 3.062
Pb 0.014 0.000 5.384
S 2.136 0.000 1.680

(7)
3
Lattice="0.000 3.377 3.377 3.377 0.000 3.377 3.377 3.377 0.000" Properties=species:S:1:pos:R:3 comment="SmCdPd PBE-GGA relaxed" final_energy_ev_per_atom=-4.151 crystal_system=cubic spacegroup="No. 216" pbc="T T T"
Sm 0.000 0.000 0.000
Cd 3.377 3.377 3.377
Pd 5.065 5.065 5.065

(8)
8
Lattice="5.314 0.000 0.000 0.000 2.965 0.000 -2.158 0.000 5.010" Properties=species:S:1:pos:R:3 comment="Li2GaPdO4 PBE-GGA relaxed" e_form_raw_kj_per_mol_fu=-1098.8 crystal_system=monoclinic spacegroup="No. 10" pbc="T T T"
Li 0.000 0.000 0.000
Li -1.079 1.483 2.505
Ga 1.578 0.000 2.505
Pd 2.657 1.483 0.000
O 0.780 1.483 1.384
O -0.095 0.000 3.703
O 3.251 0.000 1.307
O 2.376 1.483 3.626